An optimized crystal structure of Tb5Ru3, computed with GGA-PBE.

The value obtained for the formation enthalpy at 0 K is -0.34 eV/atom. For the total moment, the calculation gives 0.000 μB per formula unit. Its density of states at the Fermi level is 0.5130 states/eV/atom. The calculated volume comes out at 188.2 Å³/f.u.

The space group is P4/ncc (No. 130, origin choice 2) and the conventional cell measures 10.844, 10.844 and 6.402 Å, with angles of 90.00, 90.00 and 90.00 degrees. The distinct sites, in fractional coordinates, are Tb at (0.042, 0.163, 0.123), Tb at (0.250, 0.750, 0.000), Ru at (0.097, 0.597, 0.750) and Ru at (0.250, 0.250, 0.375).

=====

An optimized crystal structure of PmTmNi2H8, computed with GGA-PBE.

For the total moment, the calculation gives 0.000 μB per formula unit. Its density of states at the Fermi level is 0.2423 states/eV/atom. The calculated volume comes out at 106.6 Å³/f.u. Its calculated total energy is -4.27 eV/atom.

The space group is R-3m (No. 166, hexagonal axes) and the conventional cell measures 4.4271, 4.4271 and 18.8350 Å, with angles of 90.00, 90.00 and 120.00 degrees. The distinct sites, in fractional coordinates, are Pm at (0.0000, 0.0000, 0.0000), Tm at (0.0000, 0.0000, 0.5000), Ni at (0.0000, 0.0000, 0.2558), H at (0.0000, 0.0000, 0.3409) and H at (0.0369, 0.5185, 0.5553).

=====

An optimized crystal structure of LaMg2Ni, computed with GGA-PBE.

The value obtained for the formation enthalpy at 0 K is -0.25 eV/atom. For the total moment, the calculation gives 0.000 μB per formula unit. Its density of states at the Fermi level is 0.6429 states/eV/atom. The calculated volume comes out at 89.6 Å³/f.u.

The space group is P2_1/m (No. 11) and the conventional cell measures 4.195, 8.367 and 5.518 Å, with angles of 90.00, 112.27 and 90.00 degrees. The distinct sites, in fractional coordinates, are La at (0.059, 0.250, 0.120), Mg at (0.345, 0.055, 0.691) and Ni at (0.226, 0.750, 0.451).

=====

An optimized crystal structure of TbPr5P6, computed with GGA-PBE.

The value obtained for the formation enthalpy at 0 K is -1.53 eV/atom. For the total moment, the calculation gives 0.000 μB per formula unit. Its density of states at the Fermi level is 0.0741 states/eV/atom. The calculated volume comes out at 309.1 Å³/f.u.

The space group is C2/m (No. 12) and the conventional cell measures 7.235, 12.530 and 7.235 Å, with angles of 90.00, 109.50 and 90.00 degrees. The distinct sites, in fractional coordinates, are Tb at (0.000, 0.000, 0.000), Pr at (0.000, 0.167, 0.500), Pr at (0.000, 0.334, 0.000), Pr at (0.000, 0.500, 0.500), P at (0.245, 0.000, 0.753) and P at (0.246, 0.164, 0.246).

=====

An optimized crystal structure of ErLu2Pa, computed with GGA-PBE.

The value obtained for the formation enthalpy at 0 K is 0.26 eV/atom. For the total moment, the calculation gives 0.099 μB per formula unit. Its density of states at the Fermi level is 1.8851 states/eV/atom. The calculated volume comes out at 113.6 Å³/f.u.

The space group is P4/mmm (No. 123) and the conventional cell measures 5.651, 5.651 and 3.557 Å, with angles of 90.00, 90.00 and 90.00 degrees. The distinct sites, in fractional coordinates, are Er at (0.000, 0.000, 0.000), Lu at (0.000, 0.500, 0.500) and Pa at (0.500, 0.500, 0.000).

=====

An optimized crystal structure of Ti6SnN, computed with GGA-PBE.

For the total moment, the calculation gives 0.000 μB per formula unit. Its density of states at the Fermi level is 0.4073 states/eV/atom. The calculated volume comes out at 130.4 Å³/f.u. As for the uncorrected formation energy: -585 meV per atom.

The space group is R-3m (No. 166, hexagonal axes) and the conventional cell measures 8.0536, 8.0536 and 6.9622 Å, with angles of 90.00, 90.00 and 120.00 degrees. The distinct sites, in fractional coordinates, are Ti at (0.0776, 0.5388, 0.3161), Sn at (0.0000, 0.0000, 0.0000) and N at (0.0000, 0.0000, 0.5000).

=====

An optimized crystal structure of Pm12YSc3, computed with GGA-PBE.

The value obtained for the formation enthalpy at 0 K is 0.03 eV/atom. For the total moment, the calculation gives 0.000 μB per formula unit. Its density of states at the Fermi level is 1.4133 states/eV/atom. The calculated volume comes out at 514.5 Å³/f.u.

The space group is P4/mmm (No. 123) and the conventional cell measures 5.051, 5.051 and 20.167 Å, with angles of 90.00, 90.00 and 90.00 degrees. The distinct sites, in fractional coordinates, are Pm at (0.000, 0.000, 0.000), Pm at (0.000, 0.000, 0.247), Pm at (0.000, 0.000, 0.500), Pm at (0.000, 0.500, 0.124), Pm at (0.000, 0.500, 0.371), Y at (0.500, 0.500, 0.500), Sc at (0.500, 0.500, 0.000) and Sc at (0.500, 0.500, 0.247).

=====

An optimized crystal structure of RbTbP2Pt4, computed with GGA-PBE.

The value obtained for the formation enthalpy at 0 K is -0.74 eV/atom. For the total moment, the calculation gives 0.000 μB per formula unit. Its density of states at the Fermi level is 0.5940 states/eV/atom. The calculated volume comes out at 180.2 Å³/f.u.

The space group is P4/mmm (No. 123) and the conventional cell measures 4.044, 4.044 and 11.015 Å, with angles of 90.00, 90.00 and 90.00 degrees. The distinct sites, in fractional coordinates, are Rb at (0.000, 0.000, 0.000), Tb at (0.000, 0.000, 0.500), P at (0.500, 0.500, 0.196) and Pt at (0.000, 0.500, 0.304).

=====

An optimized crystal structure of K3TcCl2F6, computed with GGA-PBE.

For the total moment, the calculation gives 1.996 μB per formula unit. Its density of states at the Fermi level is 0.7621 states/eV/atom. The calculated volume comes out at 253.1 Å³/f.u. As for the uncorrected formation energy: -2183 meV per atom.

The space group is C2/m (No. 12) and the conventional cell measures 14.648, 7.802 and 4.481 Å, with angles of 90.00, 98.73 and 90.00 degrees. The distinct sites, in fractional coordinates, are K at (0.000, 0.000, 0.000), K at (0.250, 0.250, 0.000), Tc at (0.000, 0.500, 0.500), Cl at (0.175, 0.000, 0.460), F at (0.058, 0.323, 0.762) and F at (0.105, 0.500, 0.300).

=====

An optimized crystal structure of SrZr2In, computed with GGA-PBE.

The value obtained for the formation enthalpy at 0 K is 0.16 eV/atom. For the total moment, the calculation gives 0.000 μB per formula unit. Its density of states at the Fermi level is 1.2300 states/eV/atom. The calculated volume comes out at 110.3 Å³/f.u.

The space group is Cm (No. 8) and the conventional cell measures 10.528, 3.272 and 6.458 Å, with angles of 90.00, 97.36 and 90.00 degrees. The distinct sites, in fractional coordinates, are Sr at (0.000, 0.000, 0.000), Zr at (0.228, 0.000, 0.672), Zr at (0.491, 0.000, 0.507) and In at (0.251, 0.500, 0.268).

=====

An optimized crystal structure of ErHgSe2, computed with GGA-PBE.

For the total moment, the calculation gives 0.000 μB per formula unit. Its density of states at the Fermi level is 0.6223 states/eV/atom. The calculated volume comes out at 109.0 Å³/f.u. As for the uncorrected formation energy: -1041 meV per atom.

The space group is R3m (No. 160, hexagonal axes) and the conventional cell measures 4.1416, 4.1416 and 22.0195 Å, with angles of 90.00, 90.00 and 120.00 degrees. The distinct sites, in fractional coordinates, are Er at (0.0000, 0.0000, 0.0000), Hg at (0.0000, 0.0000, 0.1659), Se at (0.0000, 0.0000, 0.4026) and Se at (0.0000, 0.0000, 0.5945).

=====

An optimized crystal structure of CsTiBr3, computed with GGA-PBE.

For the total moment, the calculation gives 1.398 μB per formula unit. Its density of states at the Fermi level is 0.6714 states/eV/atom. The calculated volume comes out at 164.5 Å³/f.u. As for the uncorrected formation energy: -1387 meV per atom.

The space group is P6_3/mmc (No. 194) and the conventional cell measures 7.9724, 7.9724 and 5.9768 Å, with angles of 90.00, 90.00 and 120.00 degrees. The distinct sites, in fractional coordinates, are Cs at (0.3333, 0.6667, 0.2500), Ti at (0.0000, 0.0000, 0.0000) and Br at (0.1611, 0.3223, 0.7500).

=====

An optimized crystal structure of Ca2NdAu6, computed with GGA-PBE.

The value obtained for the formation enthalpy at 0 K is -0.72 eV/atom. For the total moment, the calculation gives 0.000 μB per formula unit. Its density of states at the Fermi level is 0.3373 states/eV/atom. The calculated volume comes out at 210.5 Å³/f.u.

The space group is P6/mmm (No. 191) and the conventional cell measures 8.2357, 8.2357 and 3.5832 Å, with angles of 90.00, 90.00 and 120.00 degrees. The distinct sites, in fractional coordinates, are Ca at (0.3333, 0.6667, 0.0000), Nd at (0.0000, 0.0000, 0.0000) and Au at (0.0000, 0.3341, 0.5000).

=====

An optimized crystal structure of VFeH, computed with GGA-PBE.

For the total moment, the calculation gives 0.000 μB per formula unit. Its density of states at the Fermi level is 0.4436 states/eV/atom. The calculated volume comes out at 27.5 Å³/f.u. Its calculated total energy is -6.76 eV/atom.

The space group is P3m1 (No. 156) and the conventional cell measures 3.3982, 3.3982 and 2.7468 Å, with angles of 90.00, 90.00 and 120.00 degrees. The distinct sites, in fractional coordinates, are V at (0.0000, 0.0000, 0.0000), Fe at (0.6667, 0.3333, 0.4933) and H at (0.3333, 0.6667, 0.4793).

=====

An optimized crystal structure of HfCr3Sb, computed with GGA-PBE.

For the total moment, the calculation gives 9.358 μB per formula unit. Its density of states at the Fermi level is 0.8968 states/eV/atom. The calculated volume comes out at 112.2 Å³/f.u. As for the uncorrected formation energy: 1536 meV per atom.

The space group is Pm-3m (No. 221) and the conventional cell measures 4.823, 4.823 and 4.823 Å, with angles of 90.00, 90.00 and 90.00 degrees. The distinct sites, in fractional coordinates, are Hf at (0.000, 0.000, 0.000), Cr at (0.000, 0.000, 0.500) and Sb at (0.500, 0.500, 0.500).

=====

An optimized crystal structure of K2BaCa, computed with GGA-PBE.

The value obtained for the formation enthalpy at 0 K is 0.14 eV/atom. For the total moment, the calculation gives 0.003 μB per formula unit. Its density of states at the Fermi level is 1.2757 states/eV/atom. The calculated volume comes out at 240.3 Å³/f.u.

The space group is R3m (No. 160, hexagonal axes) and the conventional cell measures 4.3203, 4.3203 and 44.6032 Å, with angles of 90.00, 90.00 and 120.00 degrees. The distinct sites, in fractional coordinates, are K at (0.0000, 0.0000, 0.0000), K at (0.0000, 0.0000, 0.1745), Ba at (0.0000, 0.0000, 0.7540) and Ca at (0.0000, 0.0000, 0.5872).

=====

An optimized crystal structure of TlP3Pb, computed with GGA-PBE.

The value obtained for the formation enthalpy at 0 K is 1.13 eV/atom. For the total moment, the calculation gives 0.000 μB per formula unit. Its density of states at the Fermi level is 1.4839 states/eV/atom. The calculated volume comes out at 148.2 Å³/f.u.

The space group is Pm-3m (No. 221) and the conventional cell measures 5.292, 5.292 and 5.292 Å, with angles of 90.00, 90.00 and 90.00 degrees. The distinct sites, in fractional coordinates, are Tl at (0.000, 0.000, 0.000), P at (0.000, 0.500, 0.500) and Pb at (0.500, 0.500, 0.500).

=====

An optimized crystal structure of Na2SrCl, computed with GGA-PBE.

For the total moment, the calculation gives 0.000 μB per formula unit. Its density of states at the Fermi level is 0.5692 states/eV/atom. The calculated volume comes out at 150.7 Å³/f.u. As for the uncorrected formation energy: -711 meV per atom.

The space group is I-42d (No. 122) and the conventional cell measures 10.092, 10.092 and 5.920 Å, with angles of 90.00, 90.00 and 90.00 degrees. The distinct sites, in fractional coordinates, are Na at (0.169, 0.250, 0.125), Sr at (0.000, 0.000, 0.500) and Cl at (0.000, 0.000, 0.000).

=====

An optimized crystal structure of BeNb2GeBr, computed with GGA-PBE.

For the total moment, the calculation gives 0.000 μB per formula unit. Its density of states at the Fermi level is 1.4335 states/eV/atom. The calculated volume comes out at 93.3 Å³/f.u. As for the uncorrected formation energy: 1172 meV per atom.

The space group is P4/mmm (No. 123) and the conventional cell measures 4.863, 4.863 and 3.944 Å, with angles of 90.00, 90.00 and 90.00 degrees. The distinct sites, in fractional coordinates, are Be at (0.000, 0.000, 0.000), Nb at (0.000, 0.500, 0.500), Ge at (0.500, 0.500, 0.000) and Br at (0.000, 0.000, 0.500).

=====

An optimized crystal structure of TbMg3Tl2F12, computed with GGA-PBE.

For the total moment, the calculation gives 0.510 μB per formula unit. Its density of states at the Fermi level is 0.3367 states/eV/atom. The calculated volume comes out at 246.1 Å³/f.u. As for the uncorrected formation energy: -3093 meV per atom.

The space group is R-3m (No. 166, hexagonal axes) and the conventional cell measures 7.4428, 7.4428 and 15.3926 Å, with angles of 90.00, 90.00 and 120.00 degrees. The distinct sites, in fractional coordinates, are Tb at (0.0000, 0.0000, 0.0000), Mg at (0.0000, 0.5000, 0.5000), Tl at (0.0000, 0.0000, 0.3937), F at (0.0438, 0.5219, 0.3719) and F at (0.0972, 0.5486, 0.8003).